# 1
Density functional theory data (PBE) for a relaxed structure of Mn2GaFeH.

Structure (extended XYZ):
```
5
Lattice="3.6163 0.0000 0.0000 0.0000 3.6163 0.0000 0.0000 0.0000 3.9365" Properties=species:S:1:pos:R:3 pbc="T T T"
H 0.0000 0.0000 0.0000
Fe 1.8081 1.8081 1.9682
Mn 0.0000 1.8081 0.0000
Mn 1.8081 0.0000 0.0000
Ga 0.0000 0.0000 1.9682
```

Properties
Symmetry: P4/mmm, No. 123
Magnetization (Bohr magnetons per cell): 6.10
Offset from the most stable computed form (meV per atom): 194


# 2
Density functional theory data (PBE) for a relaxed structure of GaFe2MoH.

Structure (extended XYZ):
```
5
Lattice="-1.0537 2.1659 -2.8747 -1.1486 -3.0411 -1.8702 -3.6413 0.3789 1.6202" Properties=species:S:1:pos:R:3 pbc="T T T"
Fe -0.5743 -1.5205 -0.9351
Fe -0.5269 1.0829 -1.4373
Mo -1.8207 0.1895 0.8101
Ga -2.9218 -0.2481 -1.5623
H 0.0000 0.0000 0.0000
```

Properties
Symmetry: P4/mmm, No. 123
Magnetization (Bohr magnetons per cell): 5.18
Total DFT energy (no corrections) (eV per atom): -6.8271


# 3
Density functional theory data (PBE) for a relaxed structure of Ga2Fe6HN.

Structure (extended XYZ):
```
10
Lattice="5.2362 0.0005 0.0019 0.0005 5.2361 0.0018 2.6196 2.6197 3.7013" Properties=species:S:1:pos:R:3 pbc="T T T"
H 0.0000 0.0000 0.0000
Fe 2.6193 2.6193 1.8837
Fe 3.9468 1.2898 0.0019
Fe 5.2370 5.2370 1.8213
Fe 3.9475 3.9475 0.0030
Fe 3.9088 3.9088 3.7020
Fe 1.2898 3.9468 0.0018
Ga 2.6191 5.2371 1.8525
Ga 5.2371 2.6192 1.8525
N 2.6183 2.6183 0.0018
```

Properties
Symmetry: Fm-3m, No. 225
Magnetization (Bohr magnetons per cell): 8.24
Total DFT energy (no corrections) (eV per atom): -6.9839


# 4
Density functional theory data (PBE) for a relaxed structure of NaGaFeH6.

Structure (extended XYZ):
```
9
Lattice="4.2818 0.0000 0.0001 2.1410 3.7081 0.0002 0.0002 0.0000 5.1710" Properties=species:S:1:pos:R:3 pbc="T T T"
H 2.7019 2.3008 1.5761
H 3.3434 1.1894 3.5951
H 0.9386 1.1896 1.5758
H 1.5801 2.3007 3.5952
H 1.4992 0.2180 3.5950
H 2.7827 0.2180 1.5760
Ga 4.2819 2.4721 2.5856
Fe 2.1409 1.2361 2.5856
Na 6.4226 3.7081 0.0003
```

Properties
Symmetry: P312, No. 149
Magnetization (Bohr magnetons per cell): 0.11
Total DFT energy (no corrections) (eV per atom): -3.7285


# 5
Density functional theory data (PBE) for a relaxed structure of Na2GaFeH6.

Structure (extended XYZ):
```
10
Lattice="5.0566 0.0040 -0.0026 0.0040 5.0566 -0.0027 2.5284 2.5285 3.5921" Properties=species:S:1:pos:R:3 pbc="T T T"
H 1.1674 3.8936 -0.0027
H 3.8932 1.1670 -0.0026
H 1.1628 1.1633 0.0059
H 2.5208 2.5208 1.9469
H 6.4262 6.4258 3.5808
H 5.0683 5.0683 1.6398
Na 5.0581 2.5310 1.7934
Na 2.5309 5.0582 1.7933
Fe 0.0000 0.0000 0.0000
Ga 2.5303 2.5303 -0.0027
```

Properties
Symmetry: C2/m, No. 12
Magnetization (Bohr magnetons per cell): 0.68
Total DFT energy (no corrections) (eV per atom): -3.4266


# 6
Density functional theory data (PBE) for a relaxed structure of NaGaFeH2.

Structure (extended XYZ):
```
5
Lattice="3.6630 0.0000 0.0000 0.0000 5.4512 0.0000 0.0000 0.0000 3.6630" Properties=species:S:1:pos:R:3 pbc="T T T"
H 0.0000 0.0000 1.8315
H 1.8315 0.0000 0.0000
Na 0.0000 0.0000 0.0000
Fe 0.0000 2.7256 0.0000
Ga 1.8315 2.7256 1.8315
```

Properties
Symmetry: P4/mmm, No. 123
Magnetization (Bohr magnetons per cell): 3.22
Total DFT energy (no corrections) (eV per atom): -2.9524